VASP calculation (GGA-PBE) on a relaxed structure of Rb5BiSe4.

a = 4.837 Å, b = 8.844 Å, c = 10.700 Å
α = 114.48°, β = 103.06°, γ = 90.00°
Fractional coordinates of all 10 atoms:
Rb: 0.829 0.580 0.659
Rb: 0.830 0.079 0.659
Rb: 0.170 0.921 0.341
Rb: 0.500 0.500 0.000
Rb: 0.171 0.420 0.341
Bi: 0.500 0.000 0.000
Se: 0.330 0.830 0.660
Se: 0.000 0.776 0.000
Se: 0.670 0.170 0.340
Se: 0.000 0.224 0.000

Space group: C2/m
Mass density (Mg/m³): 3.92
Uncorrected formation energy (meV/atom): -833.1

=====

VASP calculation (GGA-PBE) on a relaxed structure of Rb3Sm2BiSe6.

a = 7.518 Å, b = 7.518 Å, c = 8.393 Å
α = 98.59°, β = 98.59°, γ = 120.00°
Fractional coordinates of all 12 atoms:
Rb: 0.165 0.835 0.500
Rb: 0.835 0.165 0.500
Rb: 0.500 0.500 0.500
Sm: 0.333 0.667 0.000
Sm: 0.667 0.333 0.000
Bi: 0.000 0.000 0.000
Se: 0.933 0.597 0.800
Se: 0.730 0.730 0.200
Se: 0.067 0.403 0.200
Se: 0.597 0.933 0.800
Se: 0.270 0.270 0.800
Se: 0.403 0.067 0.200

Space group: C2/m
Mass density (Mg/m³): 5.25
Uncorrected formation energy (meV/atom): -1421.7

=====

VASP calculation (GGA-PBE) on a relaxed structure of Rb2SnBiSe5.

a = 4.047 Å, b = 11.010 Å, c = 14.838 Å
α = 90.00°, β = 90.00°, γ = 100.59°
Fractional coordinates of all 18 atoms:
Rb: 0.874 0.748 0.811
Rb: 0.122 0.243 0.680
Rb: 0.126 0.252 0.311
Rb: 0.878 0.757 0.180
Sn: 0.565 0.129 0.928
Sn: 0.435 0.871 0.428
Bi: 0.784 0.567 0.535
Bi: 0.216 0.433 0.035
Se: 0.337 0.675 0.996
Se: 0.680 0.360 0.886
Se: 0.506 0.011 0.783
Se: 0.283 0.566 0.668
Se: 0.956 0.912 0.537
Se: 0.663 0.325 0.496
Se: 0.320 0.640 0.386
Se: 0.494 0.989 0.283
Se: 0.717 0.434 0.168
Se: 0.044 0.088 0.037

Space group: Cmc2_1
Mass density (Mg/m³): 4.57
Uncorrected formation energy (meV/atom): -624.5

=====

VASP calculation (GGA-PBE) on a relaxed structure of Rb4SnBi3Se8.

a = 8.658 Å, b = 9.491 Å, c = 8.659 Å
α = 117.15°, β = 119.99°, γ = 90.00°
Fractional coordinates of all 16 atoms:
Rb: 0.500 0.000 0.000
Rb: 0.500 0.000 0.500
Rb: 0.000 0.000 0.000
Rb: 0.000 0.000 0.500
Sn: 0.000 0.500 0.000
Bi: 0.500 0.500 0.000
Bi: 0.500 0.500 0.500
Bi: 0.000 0.500 0.500
Se: 0.231 0.700 0.969
Se: 0.230 0.700 0.461
Se: 0.265 0.296 0.531
Se: 0.739 0.700 0.969
Se: 0.261 0.300 0.031
Se: 0.735 0.704 0.469
Se: 0.770 0.300 0.539
Se: 0.769 0.300 0.031

Space group: R-3m
Mass density (Mg/m³): 5.45
Uncorrected formation energy (meV/atom): -760.1

=====

Number 1: magnetization 0.0 μB per cell, electronic total energy -30.99 eV for the cell shown. Number 2: magnetization 0.0 μB per cell, electronic total energy -54.19 eV for the cell shown. Number 3: magnetization 0.3 μB per cell, electronic total energy -65.72 eV for the cell shown. Number 4: magnetization 0.0 μB per cell, electronic total energy -59.55 eV for the cell shown.